No. 1
The following is a DFT calculation (SCAN) of a PBEsol-optimized structure of Y2ZrPt.

Lattice parameters (Å, degrees): 3.4985 3.4985 27.7344 90.00 90.00 120.00
Space group R-3m (No. 166, hexagonal axes)
Unique sites:
Y 0.0000 0.0000 0.2374
Zr 0.0000 0.0000 0.0000
Pt 0.0000 0.0000 0.5000

Values from the calculation:
energy of formation from the pure elements = -0.42 eV/atom
VASP energy = -158.2 eV per formula unit
DOS at the Fermi energy = 0.85 states/eV/atom
crystal system = trigonal
theoretical density = 7865 kg/m3

---

No. 2
The following is a DFT calculation (SCAN) of a PBEsol-optimized structure of YZr2Pt.

Lattice parameters (Å, degrees): 4.167 4.167 9.538 90.00 90.00 90.00
Space group I-4m2 (No. 119)
Unique sites:
Y 0.000 0.000 0.000
Zr 0.000 0.000 0.500
Zr 0.000 0.500 0.250
Pt 0.000 0.500 0.750

Values from the calculation:
energy of formation from the pure elements = -0.39 eV/atom
VASP energy = -161.0 eV per formula unit
DOS at the Fermi energy = 1.45 states/eV/atom
crystal system = tetragonal
theoretical density = 9353 kg/m3

---

No. 3
The following is a DFT calculation (SCAN) of a PBEsol-optimized structure of YZr2Pt.

Lattice parameters (Å, degrees): 6.872 6.872 6.872 90.00 90.00 90.00
Space group F-43m (No. 216)
Unique sites:
Y 0.000 0.000 0.000
Zr 0.000 0.000 0.500
Zr 0.250 0.250 0.750
Pt 0.250 0.250 0.250

Values from the calculation:
energy of formation from the pure elements = -0.45 eV/atom
VASP energy = -161.2 eV per formula unit
DOS at the Fermi energy = 0.68 states/eV/atom
crystal system = cubic
theoretical density = 9545 kg/m3

---

No. 4
The following is a DFT calculation (SCAN) of a PBEsol-optimized structure of Y2ZrPt.

Lattice parameters (Å, degrees): 3.516 5.061 10.589 90.00 90.00 90.00
Space group Imm2 (No. 44)
Unique sites:
Y 0.000 0.000 0.000
Y 0.000 0.500 0.210
Zr 0.000 0.000 0.418
Pt 0.000 0.500 0.724

Values from the calculation:
energy of formation from the pure elements = -0.70 eV/atom
VASP energy = -159.4 eV per formula unit
DOS at the Fermi energy = 0.49 states/eV/atom
crystal system = orthorhombic
theoretical density = 8181 kg/m3

---

No. 5
The following is a DFT calculation (SCAN) of a PBEsol-optimized structure of YZr2Pt.

Lattice parameters (Å, degrees): 3.528 4.607 5.088 90.00 90.00 90.00
Space group Pmmm (No. 47)
Unique sites:
Y 0.000 0.000 0.000
Zr 0.000 0.500 0.500
Zr 0.500 0.000 0.500
Pt 0.500 0.500 0.000

Values from the calculation:
energy of formation from the pure elements = -0.47 eV/atom
VASP energy = -161.3 eV per formula unit
DOS at the Fermi energy = 1.32 states/eV/atom
crystal system = orthorhombic
theoretical density = 9367 kg/m3

---

No. 6
The following is a DFT calculation (SCAN) of a PBEsol-optimized structure of ZnPt.

Lattice parameters (Å, degrees): 9.484 2.815 4.458 90.00 108.30 90.00
Space group C2/m (No. 12)
Unique sites:
Zn 0.123 0.000 0.303
Pt 0.121 0.500 0.799

Values from the calculation:
energy of formation from the pure elements = -0.52 eV/atom
VASP energy = -84.8 eV per formula unit
DOS at the Fermi energy = 0.29 states/eV/atom
crystal system = monoclinic
theoretical density = 15311 kg/m3

---

No. 7
The following is a DFT calculation (SCAN) of a PBEsol-optimized structure of Zn11Pt2.

Lattice parameters (Å, degrees): 8.985 8.985 8.985 90.00 90.00 90.00
Space group I-43m (No. 217)
Unique sites:
Zn 0.000 0.000 0.358
Zn 0.037 0.314 0.314
Zn 0.110 0.110 0.110
Pt 0.174 0.174 0.826

Values from the calculation:
energy of formation from the pure elements = -0.32 eV/atom
VASP energy = -293.2 eV per formula unit
DOS at the Fermi energy = 0.16 states/eV/atom
crystal system = cubic
theoretical density = 10160 kg/m3

---

No. 8
The following is a DFT calculation (SCAN) of a PBEsol-optimized structure of Zn2Pt.

Lattice parameters (Å, degrees): 2.783 3.701 8.088 90.00 90.00 90.00
Space group Immm (No. 71)
Unique sites:
Zn 0.000 0.000 0.165
Pt 0.000 0.000 0.500

Values from the calculation:
energy of formation from the pure elements = -0.49 eV/atom
VASP energy = -98.7 eV per formula unit
DOS at the Fermi energy = 0.26 states/eV/atom
crystal system = orthorhombic
theoretical density = 12994 kg/m3

---

No. 9
The following is a DFT calculation (SCAN) of a PBEsol-optimized structure of Zn2Pt.

Lattice parameters (Å, degrees): 4.3283 4.3283 5.2510 90.00 90.00 120.00
Space group P6_3/mmc (No. 194)
Unique sites:
Zn 0.0000 0.0000 0.0000
Zn 0.3333 0.6667 0.2500
Pt 0.3333 0.6667 0.7500

Values from the calculation:
energy of formation from the pure elements = -0.42 eV/atom
VASP energy = -98.5 eV per formula unit
DOS at the Fermi energy = 0.20 states/eV/atom
crystal system = hexagonal
theoretical density = 12705 kg/m3

---

No. 10
The following is a DFT calculation (SCAN) of a PBEsol-optimized structure of ZnPt3.

Lattice parameters (Å, degrees): 2.743 3.814 5.577 90.00 90.00 90.00
Space group Pmmm (No. 47)
Unique sites:
Zn 0.000 0.000 0.000
Pt 0.000 0.000 0.500
Pt 0.500 0.500 0.243

Values from the calculation:
energy of formation from the pure elements = -0.26 eV/atom
VASP energy = -225.1 eV per formula unit
DOS at the Fermi energy = 1.14 states/eV/atom
crystal system = orthorhombic
theoretical density = 18514 kg/m3

---

No. 11
The following is a DFT calculation (SCAN) of a PBEsol-optimized structure of ZnPt3.

Lattice parameters (Å, degrees): 9.118 2.763 4.723 90.00 101.86 90.00
Space group C2/m (No. 12)
Unique sites:
Zn 0.000 0.000 0.000
Pt 0.000 0.500 0.500
Pt 0.244 0.500 0.247

Values from the calculation:
energy of formation from the pure elements = -0.29 eV/atom
VASP energy = -225.3 eV per formula unit
DOS at the Fermi energy = 0.83 states/eV/atom
crystal system = monoclinic
theoretical density = 18555 kg/m3

---

No. 12
The following is a DFT calculation (SCAN) of a PBEsol-optimized structure of ZnPt.

Lattice parameters (Å, degrees): 6.134 6.134 6.134 90.00 90.00 90.00
Space group Fd-3m (No. 227, origin choice 2)
Unique sites:
Zn 0.125 0.125 0.125
Pt 0.125 0.125 0.625

Values from the calculation:
energy of formation from the pure elements = -0.32 eV/atom
VASP energy = -84.3 eV per formula unit
DOS at the Fermi energy = 0.35 states/eV/atom
crystal system = cubic
theoretical density = 14996 kg/m3

---

Question: Which formula does entry 12 have?
Answer: ZnPt

---

What did the twelfth record say?
The following is a DFT calculation (SCAN) of a PBEsol-optimized structure of ZnPt.

Lattice parameters (Å, degrees): 6.134 6.134 6.134 90.00 90.00 90.00
Space group Fd-3m (No. 227, origin choice 2)
Unique sites:
Zn 0.125 0.125 0.125
Pt 0.125 0.125 0.625

Values from the calculation:
energy of formation from the pure elements = -0.32 eV/atom
VASP energy = -84.3 eV per formula unit
DOS at the Fermi energy = 0.35 states/eV/atom
crystal system = cubic
theoretical density = 14996 kg/m3

---

Question: energy of formation from the pure elements of number 1 (Y2ZrPt)?
Answer: -0.42 eV/atom